[1]
VASP calculation (PBE) on a geometry-optimized LiPbCl structure.

Calculated values
Volume, A^3/atom: 27.85
Formation energy (no corrections), kJ per mole of atoms: -84.27
Density, Mg/m³: 4.961
E_tot, eV/atom: -3.36
Energy relative to the lowest polymorph listed for this composition, meV/atom: 2
DOS(E_F), states/eV per atom: 0.61
Symmetry: No. 107

The structure in POSCAR format:
```
LiPbCl
1.0
7.8310 0.0074 -0.0078
7.1138 3.2749 0.0003
0.7171 0.1515 3.2640
Li Cl Pb
1 1 1
Cartesian
6.3305 1.3867 1.9733
13.7659 3.0229 0.2636
10.5105 2.3065 1.0121
```



[2]
VASP calculation (PBE) on a geometry-optimized PrZr2P structure.

Calculated values
DFT formation energy, eV per atom: -0.5770
Volume, A^3/atom: 24.82
Density, Mg/m³: 5.926
E_tot, eV/atom: -7.40
DOS(E_F), states/eV per atom: 1.05
Symmetry: No. 160

The structure in POSCAR format:
```
PrZr2P
1.0
-2.8165 0.7829 -2.1515
0.3200 -0.3296 -3.6005
-3.5229 -8.1086 -1.4005
Zr Pr P
2 1 1
Cartesian
-3.0709 -6.7212 -1.4873
-1.2941 -1.2670 -1.8286
-3.0001 -3.7981 -3.5781
-5.1868 -7.8053 -5.2353
```



Repeat the first record exactly.
VASP calculation (PBE) on a geometry-optimized LiPbCl structure.

Calculated values
Volume, A^3/atom: 27.85
Formation energy (no corrections), kJ per mole of atoms: -84.27
Density, Mg/m³: 4.961
E_tot, eV/atom: -3.36
Energy relative to the lowest polymorph listed for this composition, meV/atom: 2
DOS(E_F), states/eV per atom: 0.61
Symmetry: No. 107

The structure in POSCAR format:
```
LiPbCl
1.0
7.8310 0.0074 -0.0078
7.1138 3.2749 0.0003
0.7171 0.1515 3.2640
Li Cl Pb
1 1 1
Cartesian
6.3305 1.3867 1.9733
13.7659 3.0229 0.2636
10.5105 2.3065 1.0121
```